Rb3CeTm3Te8 after structural relaxation, computed with GGA-PBE.

Properties
DFT total energy   -4.4855 eV per atom
Formation energy without anion corrections   -128.0 kJ per mole of atoms

a b c (Å): 8.8876 8.8876 26.0786
angles (deg): 90.00 90.00 120.00
Space group R-3m (No. 166, hexagonal axes)
Unique sites:
Rb  0.0000  0.5000  0.0000
Ce  0.0000  0.0000  0.5000
Tm  0.0000  0.5000  0.5000
Te  0.0000  0.0000  0.2321
Te  0.0056  0.5028  0.7678

=====

SrCa2Zn after structural relaxation, computed with GGA-PBE.

Properties
DFT total energy   -1.8250 eV per atom
E_form   -0.0853 eV/atom

a b c (Å): 3.903 6.006 12.328
angles (deg): 90.00 90.00 90.00
Space group Immm (No. 71)
Unique sites:
Sr  0.000  0.000  0.000
Ca  0.000  0.500  0.197
Zn  0.000  0.000  0.500

=====

KLiPb2 after structural relaxation, computed with GGA-PBE.

Properties
DFT total energy   -2.6955 eV per atom
E_form   -0.0885 eV/atom
Polymorph energy (0 for the lowest one)   0.135 eV per atom

a b c (Å): 7.889 7.889 7.889
angles (deg): 90.00 90.00 90.00
Space group F-43m (No. 216)
Unique sites:
K  0.000  0.000  0.000
Li  0.250  0.250  0.250
Pb  0.000  0.000  0.500
Pb  0.250  0.250  0.750

=====

ScAlGa4 after structural relaxation, computed with GGA-PBE.

Properties
DFT total energy   -3.8303 eV per atom
E_form   -0.1333 eV/atom
Polymorph energy (0 for the lowest one)   0.104 eV per atom

a b c (Å): 7.585 7.585 7.585
angles (deg): 90.00 90.00 90.00
Space group F-43m (No. 216)
Unique sites:
Sc  0.000  0.000  0.000
Al  0.250  0.250  0.250
Ga  0.125  0.125  0.625

=====

Cs2TbI5 after structural relaxation, computed with GGA-PBE.

Properties
DFT total energy   -3.2612 eV per atom
Formation energy without anion corrections   -144.7 kJ per mole of atoms
Polymorph energy (0 for the lowest one)   0.000 eV per atom

a b c (Å): 11.005 8.540 17.434
angles (deg): 90.00 90.00 90.00
Space group Pnma (No. 62)
Unique sites:
Cs  0.046  0.250  0.198
Cs  0.180  0.750  0.413
Tb  0.189  0.750  0.060
I  0.000  0.000  0.000
I  0.037  0.750  0.204
I  0.148  0.507  0.611
I  0.219  0.250  0.394

=====

Sm3Ho2Er6Pb after structural relaxation, computed with GGA-PBE.

Properties
DFT total energy   -4.5807 eV per atom
E_form   -0.0474 eV/atom

a b c (Å): 6.101 10.566 11.614
angles (deg): 90.00 100.15 90.00
Space group C2/m (No. 12)
Unique sites:
Sm  0.000  0.000  0.000
Sm  0.000  0.333  0.000
Ho  0.000  0.166  0.500
Er  0.245  0.336  0.745
Er  0.247  0.500  0.253
Pb  0.000  0.500  0.500

=====

Nb2Ga2Fe after structural relaxation, computed with GGA-PBE.

Properties
DFT total energy   -7.1073 eV per atom
E_form   -0.1761 eV/atom

a b c (Å): 6.526 6.526 3.733
angles (deg): 90.00 90.00 90.00
Space group P4/mbm (No. 127)
Unique sites:
Nb  0.172  0.328  0.000
Ga  0.133  0.633  0.500
Fe  0.000  0.000  0.500